A plane-wave DFT calculation with PBE was carried out for CeMg14Bi after structural relaxation.

```
16
Lattice="-2.240 6.117 0.768 -3.968 -4.922 -1.749 -2.001 -2.014 10.207" Properties=species:S:1:pos:R:3 pbc="T T T"
Mg -2.532 4.248 0.342
Mg -5.287 -0.473 1.500
Mg -3.304 1.951 2.423
Mg -4.194 -3.628 1.257
Bi -4.387 -2.214 4.201
Mg -4.327 0.921 7.644
Mg -2.156 -1.076 1.995
Mg -2.445 0.212 5.061
Mg -3.400 -1.293 -0.922
Mg -5.478 0.796 4.581
Mg -4.521 1.812 -0.529
Mg -1.400 1.211 -0.036
Mg -6.331 -1.524 6.825
Mg -3.200 -2.127 7.320
Ce -3.526 3.283 5.455
Mg -5.178 -4.618 6.276
```

Results
**Energy of formation from the pure elements**: -0.6 kcal/mol of atoms

A plane-wave DFT calculation with PBE was carried out for CeMgBi2 after structural relaxation.

```
4
Lattice="-0.098 1.207 -4.406 0.498 -3.173 -3.250 -6.908 -1.642 -2.666" Properties=species:S:1:pos:R:3 pbc="T T T"
Bi -5.093 -1.388 -2.637
Bi -1.647 -0.905 -2.581
Mg -3.319 -1.813 -5.162
Ce -6.611 -2.949 -7.769
```

Results
**Energy of formation from the pure elements**: -9.2 kcal/mol of atoms

A plane-wave DFT calculation with PBE was carried out for Ce2MgBi after structural relaxation.

```
4
Lattice="4.210 0.000 0.000 0.000 4.210 0.000 0.000 0.000 6.615" Properties=species:S:1:pos:R:3 pbc="T T T"
Bi 2.105 2.105 0.000
Ce 0.000 0.000 5.041
Ce 0.000 0.000 1.573
Mg 2.105 2.105 3.307
```

Results
**Energy of formation from the pure elements**: -7.4 kcal/mol of atoms

A plane-wave DFT calculation with PBE was carried out for CeMgBi after structural relaxation.

```
3
Lattice="3.898 0.000 0.000 0.000 3.898 0.000 -1.949 -1.949 5.699" Properties=species:S:1:pos:R:3 pbc="T T T"
Ce 1.949 1.949 1.346
Mg 1.949 1.949 4.922
Bi 0.000 0.000 3.420
```

Results
**Energy of formation from the pure elements**: -5.0 kcal/mol of atoms

A plane-wave DFT calculation with PBE was carried out for Ce2MgBi9 after structural relaxation.

```
12
Lattice="-4.556 1.632 0.224 -1.070 -2.429 -4.052 -4.009 -12.353 8.464" Properties=species:S:1:pos:R:3 pbc="T T T"
Bi -3.879 -11.519 5.034
Bi -5.501 -8.683 3.762
Bi -4.133 -4.467 0.874
Bi -2.539 -7.391 2.206
Bi -2.813 -0.399 -1.914
Ce -2.647 -8.158 5.589
Bi -5.622 -9.488 7.172
Bi -4.282 -5.360 4.344
Mg 0.000 0.000 0.000
Bi -2.943 -1.233 1.516
Ce -1.361 -4.195 2.874
Bi -1.200 -3.263 -0.623
```

Results
**Energy of formation from the pure elements**: -6.7 kcal/mol of atoms

A plane-wave DFT calculation with PBE was carried out for CeMgBi3 after structural relaxation.

```
20
Lattice="-4.922 0.816 4.246 3.241 -3.499 4.430 6.013 11.577 4.745" Properties=species:S:1:pos:R:3 pbc="T T T"
Ce 2.291 2.105 4.779
Bi 4.839 10.277 6.162
Mg 5.318 8.081 9.666
Bi 3.807 4.895 3.473
Bi 3.611 -0.211 6.754
Ce 1.444 0.770 9.108
Mg -3.448 1.221 5.878
Bi 2.986 3.590 7.826
Ce 2.887 8.123 4.313
Bi 5.447 3.182 5.703
Mg -0.986 0.812 3.755
Bi -0.469 1.944 6.665
Bi 1.346 5.303 5.596
Bi 1.407 -1.202 4.389
Ce 2.041 6.788 8.643
Mg 7.779 7.673 7.543
Bi 2.925 10.095 9.032
Bi -0.508 -1.384 7.259
Bi 0.721 9.105 6.668
Bi 4.800 6.949 6.757
```

Results
**Energy of formation from the pure elements**: -9.3 kcal/mol of atoms

A plane-wave DFT calculation with PBE was carried out for CeMgBi after structural relaxation.

```
6
Lattice="4.532 0.000 0.000 0.000 4.532 0.000 0.000 0.000 8.130" Properties=species:S:1:pos:R:3 pbc="T T T"
Bi 2.266 0.000 6.547
Bi 0.000 2.266 1.583
Mg 2.266 0.000 1.406
Mg 0.000 2.266 6.724
Ce 0.000 0.000 4.065
Ce 2.266 2.266 4.065
```

Results
**Energy of formation from the pure elements**: -8.3 kcal/mol of atoms

A plane-wave DFT calculation with PBE was carried out for CeMgBi2 after structural relaxation.

```
4
Lattice="4.108 0.000 0.000 0.000 4.108 0.000 0.000 0.000 6.867" Properties=species:S:1:pos:R:3 pbc="T T T"
Bi 0.000 0.000 1.713
Mg 2.054 2.054 0.000
Ce 2.054 2.054 3.434
Bi 0.000 0.000 5.155
```

Results
**Energy of formation from the pure elements**: -8.8 kcal/mol of atoms

A plane-wave DFT calculation with PBE was carried out for Ce5MgBi3 after structural relaxation.

```
18
Lattice="-3.456 -5.396 -1.350 5.882 -1.903 -7.452 2.037 -3.505 8.793" Properties=species:S:1:pos:R:3 pbc="T T T"
Ce 3.885 -6.974 -5.894
Bi -0.119 -2.631 2.878
Ce 1.590 -5.669 2.703
Ce 0.577 -3.829 5.884
Ce 3.319 -2.971 3.378
Ce 4.600 -2.437 -2.037
Ce 3.298 -2.695 -5.611
Mg 0.000 0.000 0.000
Bi 1.287 -2.045 -3.063
Bi 4.159 -4.779 0.513
Mg -1.728 -2.698 -0.675
Ce -0.872 -4.603 -3.192
Ce 1.451 -2.930 0.054
Bi 1.138 -5.254 -5.739
Ce 3.011 -7.873 -0.064
Ce 2.872 -5.135 -2.712
Bi 0.303 -6.024 -0.522
Bi 4.581 -8.173 -2.887
```

Results
**Energy of formation from the pure elements**: -12.0 kcal/mol of atoms

A plane-wave DFT calculation with PBE was carried out for Ce2MgBi3 after structural relaxation.

```
6
Lattice="4.085 0.000 0.000 0.000 5.402 0.000 -2.042 -2.701 8.810" Properties=species:S:1:pos:R:3 pbc="T T T"
Bi 0.000 0.000 3.028
Mg 0.000 0.000 0.000
Bi 2.042 2.701 5.782
Ce 0.000 0.000 6.241
Bi 0.000 2.701 0.000
Ce 2.042 2.701 2.569
```

Results
**Energy of formation from the pure elements**: -9.7 kcal/mol of atoms

A plane-wave DFT calculation with PBE was carried out for Ce2MgBi after structural relaxation.

```
4
Lattice="-3.123 -0.885 0.523 -1.145 -2.812 -1.261 2.015 -7.263 10.076" Properties=species:S:1:pos:R:3 pbc="T T T"
Bi -1.127 -5.479 4.669
Ce -3.347 -5.313 2.029
Ce 1.093 -5.646 7.309
Mg 0.000 0.000 0.000
```

Results
**Energy of formation from the pure elements**: 1.9 kcal/mol of atoms

A plane-wave DFT calculation with PBE was carried out for Ce2MgBi5 after structural relaxation.

```
16
Lattice="4.985 0.000 0.000 0.000 6.864 0.000 0.000 0.000 13.708" Properties=species:S:1:pos:R:3 pbc="T T T"
Ce 2.493 5.538 8.813
Bi 0.000 6.553 3.238
Bi 0.000 3.432 0.000
Mg 0.000 0.000 0.000
Bi 2.493 2.029 8.287
Bi 2.493 1.403 1.433
Bi 0.000 0.000 6.854
Bi 2.493 4.835 5.421
Ce 2.493 4.759 1.959
Mg 0.000 3.432 6.854
Ce 2.493 1.326 4.895
Ce 2.493 2.106 11.749
Bi 2.493 5.461 12.275
Bi 0.000 3.121 3.616
Bi 0.000 3.744 10.092
Bi 0.000 0.312 10.470
```

Results
**Energy of formation from the pure elements**: -11.4 kcal/mol of atoms

A plane-wave DFT calculation with PBE was carried out for CeMgBi2 after structural relaxation.

```
4
Lattice="-2.069 -2.884 2.357 3.403 0.664 3.800 -2.939 3.728 1.981" Properties=species:S:1:pos:R:3 pbc="T T T"
Mg -0.803 0.754 4.069
Bi -1.470 1.864 0.990
Bi 1.701 0.332 1.900
Ce -1.035 -1.442 1.178
```

Results
**Energy of formation from the pure elements**: -11.5 kcal/mol of atoms

Uncorrected energy for every record listed, in sequence, given in eV per atom: -2.03, -4.22, -4.66, -4.02, -4.32, -4.24, -4.16, -4.20, -5.29, -4.61, -4.25, -4.60, -4.32.
N(E_F) for every record listed, in sequence, given in states/eV per cell: 12.5, 4.5, 13.4, 8.2, 14.0, 28.8, 10.0, 6.7, 59.4, 11.2, 10.8, 22.4, 5.1.
Ρ for every record listed, in sequence, given in g cm⁻³: 2.95, 7.52, 7.27, 7.16, 9.97, 8.88, 7.43, 8.34, 8.44, 7.96, 7.32, 9.55, 8.58.